{
  "formula": "Cr2NiTe",
  "functional": "PBE-GGA",
  "state": "optimized geometry",
  "density_g_cm3": 8.3,
  "n_ef_per_ev_cell": 3.1,
  "formation_energy_uncorrected_mev_per_atom": 366,
  "cell": [[-3.534, -1.940, 2.159], [-3.651, -2.570, -0.989], [1.494, -4.015, 0.747]],
  "species": ["Cr", "Cr", "Ni", "Te"],
  "frac_coords": [[0.009, 0.009, 0.927], [0.491, 0.491, 0.573], [0.750, 0.750, 0.750], [0.250, 0.250, 0.250]]
}